Entry 1:
# Ba4TeAsO, relaxed, DFT GGA-PBE
data_Ba4TeAsO
_chemical_formula_sum 'Ba16 Te4 As4 O4'
_cell_length_a 7.409
_cell_length_b 18.258
_cell_length_c 7.392
_cell_angle_alpha 90.00
_cell_angle_beta 90.00
_cell_angle_gamma 90.00
_space_group_name_H-M_alt 'C m c m'
_space_group_IT_number 63
_space_group_name_Hall '-C 2c 2'
loop_
_atom_site_label
_atom_site_fract_x
_atom_site_fract_y
_atom_site_fract_z
_atom_site_occupancy
Ba1 0.000 0.058 0.250 1
Ba2 0.000 0.417 0.250 1
Ba3 0.250 0.250 0.000 1
Te1 0.000 0.388 0.750 1
As1 0.000 0.119 0.750 1
O1 0.000 0.274 0.250 1
# V = 35.7 Å³/atom
# final energy = -124.85 eV for the cell shown

---

Entry 2:
# BaThAs2O8, relaxed, DFT GGA-PBE
data_BaThAs2O8
_chemical_formula_sum 'Ba1 Th1 As2 O8'
_cell_length_a 5.7399
_cell_length_b 5.7399
_cell_length_c 7.9099
_cell_angle_alpha 90.00
_cell_angle_beta 90.00
_cell_angle_gamma 120.00
_space_group_name_H-M_alt 'P -3'
_space_group_IT_number 147
_space_group_name_Hall '-P 3'
loop_
_atom_site_label
_atom_site_fract_x
_atom_site_fract_y
_atom_site_fract_z
_atom_site_occupancy
Ba1 0.0000 0.0000 0.0000 1
Th1 0.0000 0.0000 0.5000 1
As1 0.3333 0.6667 0.7738 1
O1 0.1607 0.3434 0.6931 1
O2 0.3333 0.6667 0.9863 1
# V = 18.8 Å³/atom
# final energy = -85.41 eV for the cell shown

---

Entry 3:
# BaTiAsO6, relaxed, DFT GGA-PBE
data_BaTiAsO6
_chemical_formula_sum 'Ba2 Ti2 As2 O12'
_cell_length_a 5.1965
_cell_length_b 5.1965
_cell_length_c 11.3735
_cell_angle_alpha 90.00
_cell_angle_beta 90.00
_cell_angle_gamma 120.00
_space_group_name_H-M_alt 'P -3 1 c'
_space_group_IT_number 163
_space_group_name_Hall '-P 3 2c'
loop_
_atom_site_label
_atom_site_fract_x
_atom_site_fract_y
_atom_site_fract_z
_atom_site_occupancy
Ba1 0.0000 0.0000 0.0000 1
Ti1 0.3333 0.6667 0.2500 1
As1 0.3333 0.6667 0.7500 1
O1 0.0165 0.4025 0.6568 1
# V = 14.8 Å³/atom
# final energy = -126.40 eV for the cell shown

---

Entry 4:
# BaTiAs2O8, relaxed, DFT GGA-PBE
data_BaTiAs2O8
_chemical_formula_sum 'Ba2 Ti2 As4 O16'
_cell_length_a 8.575
_cell_length_b 5.512
_cell_length_c 7.938
_cell_angle_alpha 90.00
_cell_angle_beta 93.66
_cell_angle_gamma 90.00
_space_group_name_H-M_alt 'C 1 2/m 1'
_space_group_IT_number 12
_space_group_name_Hall '-C 2y'
loop_
_atom_site_label
_atom_site_fract_x
_atom_site_fract_y
_atom_site_fract_z
_atom_site_occupancy
Ba1 0.000 0.000 0.000 1
Ti1 0.000 0.000 0.500 1
As1 0.134 0.500 0.294 1
O1 0.018 0.246 0.318 1
O2 0.191 0.500 0.094 1
O3 0.221 0.000 0.547 1
# V = 15.6 Å³/atom
# final energy = -167.06 eV for the cell shown

---

Entry 5:
# BaTi2As2O, relaxed, DFT GGA-PBE
data_BaTi2As2O
_chemical_formula_sum 'Ba1 Ti2 As2 O1'
_cell_length_a 4.061
_cell_length_b 4.061
_cell_length_c 7.404
_cell_angle_alpha 90.00
_cell_angle_beta 90.00
_cell_angle_gamma 90.00
_space_group_name_H-M_alt 'P 4/m m m'
_space_group_IT_number 123
_space_group_name_Hall '-P 4 2'
loop_
_atom_site_label
_atom_site_fract_x
_atom_site_fract_y
_atom_site_fract_z
_atom_site_occupancy
Ba1 0.000 0.000 0.000 1
Ti1 0.000 0.500 0.500 1
As1 0.500 0.500 0.258 1
O1 0.000 0.000 0.500 1
# V = 20.4 Å³/atom
# final energy = -41.47 eV for the cell shown

---

Entry 6:
# BaTiAs2O8, relaxed, DFT GGA-PBE
data_BaTiAs2O8
_chemical_formula_sum 'Ba1 Ti1 As2 O8'
_cell_length_a 5.2049
_cell_length_b 5.2049
_cell_length_c 7.7862
_cell_angle_alpha 90.00
_cell_angle_beta 90.00
_cell_angle_gamma 120.00
_space_group_name_H-M_alt 'P -3'
_space_group_IT_number 147
_space_group_name_Hall '-P 3'
loop_
_atom_site_label
_atom_site_fract_x
_atom_site_fract_y
_atom_site_fract_z
_atom_site_occupancy
Ba1 0.0000 0.0000 0.0000 1
Ti1 0.0000 0.0000 0.5000 1
As1 0.3333 0.6667 0.7209 1
O1 0.0560 0.3230 0.6532 1
O2 0.3333 0.6667 0.9381 1
# V = 15.2 Å³/atom
# final energy = -83.32 eV for the cell shown